No. 1
Entry from Alexandria via LeMat-Bulk: crystalline U5CS5 at its relaxed geometry (PBE).

Cell lengths 6.6390, 6.6390, 7.5450 Å; angles 107.15, 107.15, 47.88 degrees
Sites, in units of the cell vectors:
U  0.0000  0.0000  0.0000
U  0.3454  0.3454  0.1523
U  0.3447  0.3447  0.6925
U  0.6553  0.6553  0.3075
U  0.6546  0.6546  0.8477
C  0.5000  0.5000  0.0000
S  0.1592  0.1592  0.8191
S  0.1777  0.1777  0.3369
S  0.5000  0.5000  0.5000
S  0.8223  0.8223  0.6631
S  0.8408  0.8408  0.1809

The total energy comes out at -8.9612 eV/atom. The space-group type is No. 12. As for the formation energy from raw total energies: -1.1156 eV per atom. The total magnetization comes out at 11.62 μB per cell.

***

No. 2
Entry from Alexandria via LeMat-Bulk: crystalline U5C2S5 at its relaxed geometry (PBE).

Cell lengths 6.5501, 6.5501, 10.4627 Å; angles 107.01, 107.01, 32.97 degrees
Sites, in units of the cell vectors:
U  0.0000  0.0000  0.0000
U  0.1023  0.1023  0.3894
U  0.3371  0.3371  0.2052
U  0.6629  0.6629  0.7948
U  0.8977  0.8977  0.6106
C  0.0453  0.0453  0.8009
C  0.9547  0.9547  0.1991
S  0.2492  0.2492  0.6436
S  0.3357  0.3357  0.9407
S  0.5000  0.5000  0.5000
S  0.6643  0.6643  0.0593
S  0.7508  0.7508  0.3564

The total energy comes out at -8.9588 eV/atom. The space-group type is No. 12. As for the formation energy from raw total energies: -0.9983 eV per atom. The total magnetization comes out at 10.82 μB per cell.

***

No. 3
Entry from Alexandria via LeMat-Bulk: crystalline VCS2 at its relaxed geometry (PBE).

Cell lengths 6.4701, 6.4701, 6.4701 Å; angles 28.61, 28.61, 28.61 degrees
Sites, in units of the cell vectors:
V  0.0000  0.0000  0.0000
C  0.5000  0.5000  0.5000
S  0.4143  0.4143  0.4143
S  0.5857  0.5857  0.5857

The total energy comes out at -6.2946 eV/atom. The space-group type is No. 166. As for the formation energy from raw total energies: 0.3547 eV per atom. The total magnetization comes out at 0.00 μB per cell.

***

No. 4
Entry from Alexandria via LeMat-Bulk: crystalline V6CS2 at its relaxed geometry (PBE).

Cell lengths 5.2019, 5.2019, 7.0827 Å; angles 90.73, 90.73, 34.33 degrees
Sites, in units of the cell vectors:
V  0.0448  0.0448  0.2157
V  0.3527  0.3527  0.0680
V  0.3726  0.3726  0.4473
V  0.6274  0.6274  0.5527
V  0.6473  0.6473  0.9320
V  0.9552  0.9552  0.7843
C  0.0000  0.0000  0.5000
S  0.2666  0.2666  0.7443
S  0.7334  0.7334  0.2557

The total energy comes out at -8.6138 eV/atom. The space-group type is No. 12. As for the formation energy from raw total energies: -0.5926 eV per atom. The total magnetization comes out at 0.00 μB per cell.

***

No. 5
Entry from Alexandria via LeMat-Bulk: crystalline V4CS at its relaxed geometry (PBE).

Cell lengths 5.8275, 6.4381, 4.3967 Å; angles 90.00, 90.00, 90.00 degrees
Sites, in units of the cell vectors:
V  0.0000  0.2267  0.0000
V  0.0000  0.7305  0.4706
V  0.2407  0.6265  0.0254
V  0.2593  0.3735  0.5254
V  0.5000  0.2695  0.9706
V  0.5000  0.7733  0.5000
V  0.7407  0.3735  0.5254
V  0.7593  0.6265  0.0254
C  0.0000  0.4972  0.7671
C  0.5000  0.5028  0.2671
S  0.0000  0.0884  0.5011
S  0.5000  0.9116  0.0011

The total energy comes out at -8.5852 eV/atom. The space-group type is No. 31. As for the formation energy from raw total energies: -0.2809 eV per atom. The total magnetization comes out at 0.00 μB per cell.

***

No. 6
Entry from Alexandria via LeMat-Bulk: crystalline V2CS at its relaxed geometry (PBE).

Cell lengths 3.9232, 3.9232, 3.9232 Å; angles 60.00, 60.00, 60.00 degrees
Sites, in units of the cell vectors:
V  0.2500  0.2500  0.2500
V  0.7500  0.7500  0.7500
C  0.0000  0.0000  0.0000
S  0.5000  0.5000  0.5000

The total energy comes out at -7.8142 eV/atom. The space-group type is No. 225. As for the formation energy from raw total energies: 0.0830 eV per atom. The total magnetization comes out at 0.00 μB per cell.